# 1
Below is a geometry-optimized SiHRh3 structure, with properties calculated at the PBE level.

D(E_F) (states/eV/cell): 1.62
Energy above the most stable polymorph in this dataset (meV/atom): 0.0

Cell lengths 3.8560, 3.8560, 3.8560 Å; angles 90.00, 90.00, 90.00 degrees
Space group Pm-3m (No. 221)
Inequivalent atoms, fractional coordinates:
Si1 0.0000 0.0000 0.0000 [1 per cell]
H1 0.5000 0.5000 0.5000 [1 per cell]
Rh1 0.0000 0.5000 0.5000 [3 per cell]



# 2
Below is a geometry-optimized SiHRh2 structure, with properties calculated at the PBE level.

D(E_F) (states/eV/cell): 5.81
Energy above the most stable polymorph in this dataset (meV/atom): 105.6

Cell lengths 5.6495, 5.6495, 5.6495 Å; angles 90.00, 90.00, 90.00 degrees
Space group Fm-3m (No. 225)
Inequivalent atoms, fractional coordinates:
Si1 0.0000 0.0000 0.0000 [4 per cell]
H1 0.0000 0.0000 0.5000 [4 per cell]
Rh1 0.2500 0.2500 0.2500 [8 per cell]



# 3
Below is a geometry-optimized SiH2Rh structure, with properties calculated at the PBE level.

D(E_F) (states/eV/cell): 3.06
Energy above the most stable polymorph in this dataset (meV/atom): 0.0

Cell lengths 3.4836, 3.4836, 12.6106 Å; angles 90.00, 90.00, 90.00 degrees
Space group I-42d (No. 122)
Inequivalent atoms, fractional coordinates:
Si1 0.0000 0.0000 0.0000 [4 per cell]
H1 0.1765 0.2500 0.6250 [8 per cell]
Rh1 0.0000 0.0000 0.5000 [4 per cell]



# 4
Below is a geometry-optimized SiH2Rh structure, with properties calculated at the PBE level.

D(E_F) (states/eV/cell): 10.24
Energy above the most stable polymorph in this dataset (meV/atom): 428.9

Cell lengths 5.1944, 5.1944, 5.1944 Å; angles 90.00, 90.00, 90.00 degrees
Space group Fm-3m (No. 225)
Inequivalent atoms, fractional coordinates:
Si1 0.0000 0.0000 0.0000 [4 per cell]
H1 0.2500 0.2500 0.2500 [8 per cell]
Rh1 0.0000 0.0000 0.5000 [4 per cell]



# 5
Below is a geometry-optimized SiHRh2 structure, with properties calculated at the PBE level.

D(E_F) (states/eV/cell): 3.71
Energy above the most stable polymorph in this dataset (meV/atom): 202.7

Cell lengths 3.3640, 3.3640, 17.6628 Å; angles 90.00, 90.00, 120.00 degrees
Space group R-3m (No. 166, hexagonal axes)
Inequivalent atoms, fractional coordinates:
Si1 0.0000 0.0000 0.0000 [3 per cell]
H1 0.0000 0.0000 0.5000 [3 per cell]
Rh1 0.0000 0.0000 0.4051 [6 per cell]



# 6
Below is a geometry-optimized SiHRh2 structure, with properties calculated at the PBE level.

D(E_F) (states/eV/cell): 7.86
Energy above the most stable polymorph in this dataset (meV/atom): 45.7

Cell lengths 2.8713, 2.8713, 19.1989 Å; angles 90.00, 90.00, 120.00 degrees
Space group R3m (No. 160, hexagonal axes)
Inequivalent atoms, fractional coordinates:
Si1 0.0000 0.0000 0.0000 [3 per cell]
H1 0.0000 0.0000 0.8083 [3 per cell]
Rh1 0.0000 0.0000 0.4284 [3 per cell]
Rh2 0.0000 0.0000 0.5766 [3 per cell]



# 7
Below is a geometry-optimized SiHRh2 structure, with properties calculated at the PBE level.

D(E_F) (states/eV/cell): 1.25
Energy above the most stable polymorph in this dataset (meV/atom): 110.7

Cell lengths 2.8265, 2.8265, 5.5542 Å; angles 90.00, 90.00, 90.00 degrees
Space group P4/mmm (No. 123)
Inequivalent atoms, fractional coordinates:
Si1 0.0000 0.0000 0.0000 [1 per cell]
H1 0.0000 0.0000 0.5000 [1 per cell]
Rh1 0.5000 0.5000 0.2579 [2 per cell]



# 8
Below is a geometry-optimized SiH8Rh6 structure, with properties calculated at the PBE level.

D(E_F) (states/eV/cell): 19.83

Cell lengths 5.2430, 5.2430, 16.1425 Å; angles 90.00, 90.00, 120.00 degrees
Space group R-3 (No. 148, hexagonal axes)
Inequivalent atoms, fractional coordinates:
Si1 0.0000 0.0000 0.0000 [3 per cell]
H1 0.0000 0.0000 0.3734 [6 per cell]
H2 0.0094 0.3072 0.1300 [18 per cell]
Rh1 0.0005 0.3484 0.9128 [18 per cell]



# 9
Below is a geometry-optimized SiHRh2 structure, with properties calculated at the PBE level.

D(E_F) (states/eV/cell): 12.78
Energy above the most stable polymorph in this dataset (meV/atom): 0.0

Cell lengths 5.6959, 5.6959, 5.4850 Å; angles 90.00, 90.00, 90.00 degrees
Space group I-42d (No. 122)
Inequivalent atoms, fractional coordinates:
Si1 0.0000 0.0000 0.0000 [4 per cell]
H1 0.0000 0.0000 0.5000 [4 per cell]
Rh1 0.1786 0.2500 0.6250 [8 per cell]



# 10
Below is a geometry-optimized SiTcHRh2 structure, with properties calculated at the PBE level.

D(E_F) (states/eV/cell): 5.32

Cell lengths 3.8187, 3.8187, 3.9854 Å; angles 90.00, 90.00, 90.00 degrees
Space group P4/mmm (No. 123)
Inequivalent atoms, fractional coordinates:
Si1 0.0000 0.0000 0.0000 [1 per cell]
Tc1 0.5000 0.5000 0.0000 [1 per cell]
H1 0.5000 0.5000 0.5000 [1 per cell]
Rh1 0.0000 0.5000 0.5000 [2 per cell]



# 11
Below is a geometry-optimized Th2SiHRh6 structure, with properties calculated at the PBE level.

D(E_F) (states/eV/cell): 4.94

Cell lengths 4.4304, 4.4304, 8.3310 Å; angles 90.00, 90.00, 90.00 degrees
Space group P4/mmm (No. 123)
Inequivalent atoms, fractional coordinates:
Th1 0.0000 0.0000 0.2366 [2 per cell]
Si1 0.5000 0.5000 0.5000 [1 per cell]
H1 0.5000 0.5000 0.0000 [1 per cell]
Rh1 0.0000 0.5000 0.0000 [2 per cell]
Rh2 0.0000 0.5000 0.5000 [2 per cell]
Rh3 0.5000 0.5000 0.2247 [2 per cell]



# 12
Below is a geometry-optimized TiSiHRh2 structure, with properties calculated at the PBE level.

D(E_F) (states/eV/cell): 3.03

Cell lengths 3.9046, 3.9046, 3.8609 Å; angles 90.00, 90.00, 90.00 degrees
Space group P4/mmm (No. 123)
Inequivalent atoms, fractional coordinates:
Ti1 0.0000 0.0000 0.0000 [1 per cell]
Si1 0.5000 0.5000 0.0000 [1 per cell]
H1 0.0000 0.0000 0.5000 [1 per cell]
Rh1 0.0000 0.5000 0.5000 [2 per cell]



# 13
Below is a geometry-optimized Ti2SiHRh structure, with properties calculated at the PBE level.

D(E_F) (states/eV/cell): 4.23

Cell lengths 3.9573, 3.9573, 3.8856 Å; angles 90.00, 90.00, 90.00 degrees
Space group P4/mmm (No. 123)
Inequivalent atoms, fractional coordinates:
Ti1 0.0000 0.5000 0.0000 [2 per cell]
Si1 0.0000 0.0000 0.5000 [1 per cell]
H1 0.5000 0.5000 0.0000 [1 per cell]
Rh1 0.5000 0.5000 0.5000 [1 per cell]



# 14
Below is a geometry-optimized V2SiHRh structure, with properties calculated at the PBE level.

D(E_F) (states/eV/cell): 2.38

Cell lengths 3.6649, 3.6649, 4.1052 Å; angles 90.00, 90.00, 90.00 degrees
Space group P4/mmm (No. 123)
Inequivalent atoms, fractional coordinates:
V1 0.0000 0.5000 0.0000 [2 per cell]
Si1 0.0000 0.0000 0.5000 [1 per cell]
H1 0.5000 0.5000 0.0000 [1 per cell]
Rh1 0.5000 0.5000 0.5000 [1 per cell]



# 15
Below is a geometry-optimized Y2SiHRh6 structure, with properties calculated at the PBE level.

D(E_F) (states/eV/cell): 16.41

Cell lengths 6.0297, 6.0297, 8.5030 Å; angles 90.00, 90.00, 90.00 degrees
Space group I4/mmm (No. 139)
Inequivalent atoms, fractional coordinates:
Y1 0.0000 0.5000 0.2500 [4 per cell]
Si1 0.0000 0.0000 0.0000 [2 per cell]
H1 0.0000 0.0000 0.5000 [2 per cell]
Rh1 0.0000 0.0000 0.2679 [4 per cell]
Rh2 0.2326 0.2326 0.5000 [8 per cell]



# 16
Below is a geometry-optimized ZnSiHRh2 structure, with properties calculated at the PBE level.

D(E_F) (states/eV/cell): 1.81

Cell lengths 3.9899, 3.9899, 3.5841 Å; angles 90.00, 90.00, 90.00 degrees
Space group P4/mmm (No. 123)
Inequivalent atoms, fractional coordinates:
Zn1 0.0000 0.0000 0.0000 [1 per cell]
Si1 0.5000 0.5000 0.0000 [1 per cell]
H1 0.5000 0.5000 0.5000 [1 per cell]
Rh1 0.0000 0.5000 0.5000 [2 per cell]



# 17
Below is a geometry-optimized Sm2HRh structure, with properties calculated at the PBE level.

D(E_F) (states/eV/cell): 2.57
Energy above the most stable polymorph in this dataset (meV/atom): 204.4

Cell lengths 3.7628, 3.7628, 20.9713 Å; angles 90.00, 90.00, 120.00 degrees
Space group R3m (No. 160, hexagonal axes)
Inequivalent atoms, fractional coordinates:
Sm1 0.0000 0.0000 0.0000 [3 per cell]
Sm2 0.0000 0.0000 0.1660 [3 per cell]
H1 0.0000 0.0000 0.4117 [3 per cell]
Rh1 0.0000 0.0000 0.5828 [3 per cell]



# 18
Below is a geometry-optimized SmH6Rh3 structure, with properties calculated at the PBE level.

D(E_F) (states/eV/cell): 10.41

Cell lengths 4.9916, 4.9916, 12.2129 Å; angles 90.00, 90.00, 120.00 degrees
Space group R3 (No. 146, hexagonal axes)
Inequivalent atoms, fractional coordinates:
Sm1 0.0000 0.0000 0.0000 [3 per cell]
H1 0.9998 0.3719 0.5004 [9 per cell]
H2 0.0040 0.5168 0.0022 [9 per cell]
Rh1 0.0000 0.0000 0.2484 [3 per cell]
Rh2 0.0000 0.0000 0.4990 [3 per cell]
Rh3 0.0000 0.0000 0.7520 [3 per cell]



# 19
Below is a geometry-optimized Sm2HRh structure, with properties calculated at the PBE level.

D(E_F) (states/eV/cell): 3.78
Energy above the most stable polymorph in this dataset (meV/atom): 297.1

Cell lengths 3.3119, 3.3119, 7.1273 Å; angles 90.00, 90.00, 90.00 degrees
Space group P4/mmm (No. 123)
Inequivalent atoms, fractional coordinates:
Sm1 0.0000 0.0000 0.2468 [2 per cell]
H1 0.5000 0.5000 0.0000 [1 per cell]
Rh1 0.5000 0.5000 0.5000 [1 per cell]



# 20
Below is a geometry-optimized SmH8Rh2 structure, with properties calculated at the PBE level.

D(E_F) (states/eV/cell): 6.31
Energy above the most stable polymorph in this dataset (meV/atom): 0.0

Cell lengths 5.5138, 9.5888, 3.6748 Å; angles 90.00, 90.00, 90.00 degrees
Space group Cmmm (No. 65)
Inequivalent atoms, fractional coordinates:
Sm1 0.0000 0.0000 0.0000 [2 per cell]
H1 0.0000 0.2434 0.0000 [4 per cell]
H2 0.0000 0.5000 0.1053 [4 per cell]
H3 0.2435 0.3688 0.5000 [8 per cell]
Rh1 0.0000 0.2359 0.5000 [4 per cell]



What are the raw total energy values for these records? In order: -6.49, -6.11, -4.62, -4.19, -6.01, -6.17, -6.10, -5.13, -6.21, -6.90, -7.51, -6.80, -6.99, -7.25, -7.28, -5.09, -5.44, -5.01, -5.34, -4.41 eV/atom.